Compound: LiCdI3
Source: Alexandria via LeMat-Bulk
Functional: PBE
Structure: relaxed

Lattice parameters (Å, degrees): 7.6314 8.3601 12.3169 90.00 90.00 90.00
Closest atoms and distances in Å follow each position.
Sites, in units of the cell vectors:
I (0.8441, 0.2033, 0.9420)  1 Cd 2.77, 1 Li 2.84
I (0.1318, 0.5410, 0.7500)  2 Cd 2.83-3.06
Li (0.0000, 0.5000, 0.5000)  2 I 2.84
Cd (0.4671, 0.6867, 0.7500)  4 I 2.77-3.06
I (0.6559, 0.7033, 0.9420)  1 Cd 2.77, 1 Li 2.84
Li (0.0000, 0.5000, 0.0000)  2 I 2.84
Cd (0.5329, 0.3133, 0.2500)  4 I 2.77-3.06
I (0.8682, 0.4590, 0.2500)  2 Cd 2.83-3.06
I (0.3441, 0.2967, 0.4420)  1 Cd 2.77, 1 Li 2.84
Li (0.5000, 0.0000, 0.5000)  2 I 2.84
I (0.1559, 0.7967, 0.4420)  1 Cd 2.77, 1 Li 2.84
Cd (0.9671, 0.8133, 0.2500)  4 I 2.77-3.06
I (0.1559, 0.7967, 0.0580)  1 Cd 2.77, 1 Li 2.84
I (0.3441, 0.2967, 0.0580)  1 Cd 2.77, 1 Li 2.84
I (0.6318, 0.9590, 0.2500)  2 Cd 2.83-3.06
Li (0.5000, 0.0000, 0.0000)  2 I 2.84
I (0.3682, 0.0410, 0.7500)  2 Cd 2.83-3.06
I (0.8441, 0.2033, 0.5580)  1 Cd 2.77, 1 Li 2.84
I (0.6559, 0.7033, 0.5580)  1 Cd 2.77, 1 Li 2.84
Cd (0.0329, 0.1867, 0.7500)  4 I 2.77-3.06

* space-group type: No. 62
* excess energy over the best structure of this formula in the dataset: 4.0 kJ per mole of atoms
* ρ: 4.23 Mg/m³
* energy relative to the elements, uncorrected: -0.777 eV per atom